[1]
Compound: MoC
Source: the Alexandria database
Functional: PBE
Structure: optimized geometry

Geometry as CIF:
```
data_MoC
_chemical_formula_sum 'Mo3 C3'
_symmetry_space_group_name_H-M 'P 1'
_symmetry_Int_Tables_number 1
_cell_length_a 5.202
_cell_length_b 5.202
_cell_length_c 2.900
_cell_angle_alpha 90.00
_cell_angle_beta 90.00
_cell_angle_gamma 120.00
loop_
_symmetry_equiv_pos_as_xyz
'x,y,z'
loop_
_atom_site_label
_atom_site_fract_x
_atom_site_fract_y
_atom_site_fract_z
Mo1 0.000 0.000 0.000
Mo2 0.333 0.667 0.500
Mo3 0.667 0.333 0.500
C1 0.000 0.500 0.000
C2 0.500 0.000 0.000
C3 0.500 0.500 0.000
```

Computed properties:
Energy above the lowest structure with this stoichiometry, meV per atom: 730
Calculated formation energy, eV/atom: 0.636


[2]
Compound: Ho4CN
Source: the Alexandria database
Functional: PBE
Structure: optimized geometry

Geometry as CIF:
```
data_Ho4CN
_chemical_formula_sum 'Ho8 C2 N2'
_symmetry_space_group_name_H-M 'P 1'
_symmetry_Int_Tables_number 1
_cell_length_a 13.387
_cell_length_b 3.523
_cell_length_c 6.078
_cell_angle_alpha 90.00
_cell_angle_beta 115.61
_cell_angle_gamma 90.00
loop_
_symmetry_equiv_pos_as_xyz
'x,y,z'
loop_
_atom_site_label
_atom_site_fract_x
_atom_site_fract_y
_atom_site_fract_z
Ho1 0.110 0.000 0.440
Ho2 0.112 0.500 0.938
Ho3 0.388 0.000 0.062
Ho4 0.390 0.500 0.560
Ho5 0.610 0.500 0.440
Ho6 0.612 0.000 0.938
Ho7 0.888 0.500 0.062
Ho8 0.890 0.000 0.560
C1 0.000 0.000 0.000
C2 0.500 0.500 0.000
N1 0.000 0.500 0.500
N2 0.500 0.000 0.500
```

Computed properties:
Formation energy (no corrections), eV/atom: -0.68


[3]
Compound: Hf2InGe
Source: the Alexandria database
Functional: PBE
Structure: optimized geometry

Geometry as CIF:
```
data_Hf2InGe
_chemical_formula_sum 'Hf8 In4 Ge4'
_symmetry_space_group_name_H-M 'P 1'
_symmetry_Int_Tables_number 1
_cell_length_a 7.621
_cell_length_b 7.621
_cell_length_c 6.007
_cell_angle_alpha 90.00
_cell_angle_beta 90.00
_cell_angle_gamma 90.00
loop_
_symmetry_equiv_pos_as_xyz
'x,y,z'
loop_
_atom_site_label
_atom_site_fract_x
_atom_site_fract_y
_atom_site_fract_z
Hf1 0.230 0.250 0.125
Hf2 0.250 0.730 0.375
Hf3 0.250 0.770 0.875
Hf4 0.270 0.250 0.625
Hf5 0.730 0.750 0.625
Hf6 0.750 0.230 0.875
Hf7 0.750 0.270 0.375
Hf8 0.770 0.750 0.125
In1 0.000 0.000 0.500
In2 0.000 0.500 0.750
In3 0.500 0.000 0.250
In4 0.500 0.500 0.000
Ge1 0.000 0.000 0.000
Ge2 0.000 0.500 0.250
Ge3 0.500 0.000 0.750
Ge4 0.500 0.500 0.500
```

Computed properties:
Energy above the lowest structure with this stoichiometry, meV per atom: 87
Calculated formation energy, eV/atom: -0.071


Number 1: magnetic moment 0.00 μB per cell, DOS(E_F) 2.90 states/eV per cell. Number 2: magnetic moment 2.79 μB per cell, DOS(E_F) 8.57 states/eV per cell. Number 3: magnetic moment 0.00 μB per cell, DOS(E_F) 8.19 states/eV per cell.